The following is a PBE with a Hubbard U calculation of Rb3PuFe2O8 after structural relaxation, from Alexandria via LeMat-Bulk.

Spin magnetization = 10.99 Bohr magnetons per cell
Symmetry = P-3m1
Final energy = -6.6344 eV per atom

Geometry as CIF:
```
data_Rb3PuFe2O8
_chemical_formula_sum 'Rb3 Pu1 Fe2 O8'
_symmetry_space_group_name_H-M 'P 1'
_symmetry_Int_Tables_number 1
_cell_length_a 6.006
_cell_length_b 6.006
_cell_length_c 8.277
_cell_angle_alpha 90.00
_cell_angle_beta 90.00
_cell_angle_gamma 120.00
loop_
_symmetry_equiv_pos_as_xyz
'x,y,z'
loop_
_atom_site_label
_atom_site_type_symbol
_atom_site_fract_x
_atom_site_fract_y
_atom_site_fract_z
Rb1 Rb 0.000 0.000 0.000
Rb2 Rb 0.333 0.667 0.739
Rb3 Rb 0.667 0.333 0.261
Pu1 Pu 0.000 0.000 0.500
Fe1 Fe 0.333 0.667 0.273
Fe2 Fe 0.667 0.333 0.727
O1 O 0.160 0.320 0.358
O2 O 0.160 0.840 0.358
O3 O 0.320 0.160 0.642
O4 O 0.333 0.667 0.062
O5 O 0.667 0.333 0.938
O6 O 0.680 0.840 0.358
O7 O 0.840 0.160 0.642
O8 O 0.840 0.680 0.642
```